Entry 1:
The following is a DFT calculation (PBE) of a geometry-optimized Ac5Ag2IrN structure.

Unit cell a=9.8521 b=9.8521 c=14.2137 alpha=90.00 beta=90.00 gamma=154.66
Last column: nearest neighbours and their distance in Å.
Element x y z (fractional)
1 Ac 0.0029 0.9971 0.5000  1 N 2.35
2 Ac 0.1457 0.8543 0.7305  1 Ir 2.89
3 Ac 0.1844 0.8156 0.1071  1 N 2.55
4 Ac 0.2125 0.7875 0.3925  2 Ir 2.95
5 Ac 0.4553 0.5447 0.7332  2 N 2.50
6 Ac 0.5447 0.4553 0.2332  2 N 2.50
7 Ac 0.7875 0.2125 0.8925  2 Ir 2.95
8 Ac 0.8156 0.1844 0.6071  1 N 2.55
9 Ac 0.8543 0.1457 0.2305  1 Ir 2.89
10 Ac 0.9971 0.0029 0.0000  1 N 2.35
11 Ag 0.3698 0.6302 0.0498  7 Ac 3.34-3.66
12 Ag 0.3887 0.6113 0.4071  5 Ac 3.35-3.39
13 Ag 0.6113 0.3887 0.9071  5 Ac 3.35-3.39
14 Ag 0.6302 0.3698 0.5498  7 Ac 3.34-3.66
15 Ir 0.2955 0.7045 0.7512  6 Ac 2.89-3.08
16 Ir 0.7045 0.2955 0.2512  6 Ac 2.89-3.08
17 N 0.0547 0.9453 0.1461  4 Ac 2.35-2.55
18 N 0.9453 0.0547 0.6461  4 Ac 2.35-2.55

* E_form (uncorrected): -53.1 kJ per mole of atoms
* magnetization: 0.00 μB per cell

Entry 2:
The following is a DFT calculation (PBE) of a geometry-optimized K2CuAgBr4 structure.

Unit cell a=9.2147 b=9.2147 c=9.2147 alpha=113.20 beta=109.84 gamma=105.46
Last column: nearest neighbours and their distance in Å.
Element x y z (fractional)
1 K 0.0000 0.0000 0.0000  6 Br 3.19-3.46
2 K 0.5000 0.0000 0.0000  6 Br 3.30-3.37
3 K 0.5000 0.0000 0.5000  6 Br 3.19-3.46
4 K 0.5000 0.5000 0.5000  6 Br 3.30-3.37
5 Cu 0.0000 0.0000 0.5000  2 Br 2.26
6 Cu 0.0000 0.5000 0.0000  2 Br 2.26
7 Ag 0.0000 0.5000 0.5000  2 Br 2.50
8 Ag 0.5000 0.5000 0.0000  2 Br 2.50
9 Br 0.1996 0.1617 0.4621  1 Cu 2.26
10 Br 0.1996 0.7375 0.0379  1 Cu 2.26
11 Br 0.2720 0.7186 0.5535  1 Ag 2.50
12 Br 0.3349 0.2814 0.0535  1 Ag 2.50
13 Br 0.6651 0.7186 0.9465  1 Ag 2.50
14 Br 0.7280 0.2814 0.4465  1 Ag 2.50
15 Br 0.8004 0.2625 0.9621  1 Cu 2.26
16 Br 0.8004 0.8383 0.5379  1 Cu 2.26

* E_form (uncorrected): -93.5 kJ per mole of atoms
* magnetization: 0.40 μB per cell

Entry 3:
The following is a DFT calculation (PBE) of a geometry-optimized Cd2SnW structure.

Unit cell a=6.3204 b=6.3204 c=6.3204 alpha=101.07 beta=101.07 gamma=128.02
Last column: nearest neighbours and their distance in Å.
Element x y z (fractional)
1 Cd 0.1061 0.6250 0.9811  2 Cd 2.79, 2 W 2.82, 2 Sn 3.03
2 Cd 0.3750 0.3561 0.4811  2 Cd 2.79, 2 W 2.82, 2 Sn 3.03
3 Cd 0.6439 0.1250 0.0189  2 Cd 2.79, 2 W 2.82, 2 Sn 3.03
4 Cd 0.8750 0.8939 0.5189  2 Cd 2.79, 2 W 2.82, 2 Sn 3.03
5 Sn 0.2500 0.7500 0.5000  2 W 2.77, 4 Cd 3.03
6 Sn 0.5000 0.5000 0.0000  2 W 2.77, 4 Cd 3.03
7 W 0.0000 0.0000 0.0000  2 Sn 2.77, 4 Cd 2.82
8 W 0.7500 0.2500 0.5000  2 Sn 2.77, 4 Cd 2.82

* magnetization: 0.00 μB per cell
* total energy: -3.817 eV per atom

Entry 4:
The following is a DFT calculation (PBE) of a geometry-optimized Hf2NiAu structure.

Unit cell a=4.6753 b=4.6753 c=4.6753 alpha=60.00 beta=60.00 gamma=60.00
Last column: nearest neighbours and their distance in Å.
Element x y z (fractional)
1 Hf 0.2500 0.2500 0.2500  4 Ni 2.86, 4 Au 2.86
2 Hf 0.7500 0.7500 0.7500  4 Au 2.86, 4 Ni 2.86
3 Ni 0.0000 0.0000 0.0000  8 Hf 2.86
4 Au 0.5000 0.5000 0.5000  8 Hf 2.86

* distance to the lowest polymorph of the same formula: 63 meV/atom
* magnetization: 0.00 μB per cell

Q: Which of these has the highest magnetization?
A: K2CuAgBr4